1.
VASP calculation (PBE-GGA) on a geometry-optimized La2CuSnRu structure.

Summary:
space group	P4/mmm, No. 123
V	137.26	Å³ per cell
ΔE_f	-0.140	eV/atom

a b c (Å): 5.3053 4.8767 5.3053
angles (deg): 90.00 90.00 90.00
Last column: nearest neighbours and their distance in Å.
Fractional coordinates of all 5 atoms:
Ru  0.0000  0.0000  0.0000  2 Cu 2.44, 4 La 2.65
Sn  0.5000  0.5000  0.5000  8 La 3.60, 4 Cu 3.75
Cu  0.0000  0.5000  0.0000  2 Ru 2.44
La  0.0000  0.0000  0.5000  2 Ru 2.65
La  0.5000  0.0000  0.0000  2 Ru 2.65

2.
VASP calculation (PBE-GGA) on a geometry-optimized SrLa2CuRu structure.

Summary:
space group	P4/mmm, No. 123
V	154.07	Å³ per cell
ΔE_f	0.065	eV/atom

a b c (Å): 5.3709 5.3709 5.3413
angles (deg): 90.00 90.00 90.00
Last column: nearest neighbours and their distance in Å.
Fractional coordinates of all 5 atoms:
Ru  0.0000  0.0000  0.0000  2 Cu 2.67, 4 La 2.69
Cu  0.0000  0.0000  0.5000  2 Ru 2.67
Sr  0.5000  0.5000  0.5000  8 La 3.79, 4 Cu 3.80
La  0.0000  0.5000  0.0000  2 Ru 2.69
La  0.5000  0.0000  0.0000  2 Ru 2.69

3.
VASP calculation (PBE-GGA) on a geometry-optimized LaTmCuRu structure.

Summary:
space group	F-43m, No. 216
V	85.52	Å³ per cell
ΔE_f	-0.249	eV/atom

a b c (Å): 4.9453 4.9453 4.9453
angles (deg): 60.00 60.00 60.00
Last column: nearest neighbours and their distance in Å.
Fractional coordinates of all 4 atoms:
Ru  0.7500  0.7500  0.7500  4 Tm 3.03, 4 La 3.03
Tm  0.0000  0.0000  0.0000  4 Cu 3.03, 4 Ru 3.03
Cu  0.2500  0.2500  0.2500  4 La 3.03, 4 Tm 3.03
La  0.5000  0.5000  0.5000  4 Cu 3.03, 4 Ru 3.03

4.
VASP calculation (PBE-GGA) on a geometry-optimized LaVCu2Ru structure.

Summary:
space group	P4/mmm, No. 123
V	113.05	Å³ per cell
ΔE_f	1.114	eV/atom

a b c (Å): 4.8114 4.8832 4.8114
angles (deg): 90.00 90.00 90.00
Last column: nearest neighbours and their distance in Å.
Fractional coordinates of all 5 atoms:
Ru  0.0000  0.0000  0.0000  4 Cu 2.41, 2 La 2.44
V  0.5000  0.5000  0.5000  4 La 3.40, 8 Cu 3.43
Cu  0.0000  0.0000  0.5000  2 Ru 2.41
Cu  0.5000  0.0000  0.0000  2 Ru 2.41
La  0.0000  0.5000  0.0000  2 Ru 2.44

5.
VASP calculation (PBE-GGA) on a geometry-optimized La2Zn3Cu12Ru structure.

Summary:
space group	R-3m, No. 166
V	301.31	Å³ per cell
ΔE_f	0.145	eV/atom

a b c (Å): 9.9710 9.9710 9.9710
angles (deg): 35.67 35.67 35.67
Last column: nearest neighbours and their distance in Å.
Fractional coordinates of all 18 atoms:
La  0.6500  0.6500  0.6500  12 Cu 3.14-3.44
La  0.3500  0.3500  0.3500  12 Cu 3.14-3.44
Zn  0.5000  0.0000  0.0000  6 Cu 2.41-2.65
Zn  0.0000  0.5000  0.0000  6 Cu 2.41-2.65
Zn  0.0000  0.0000  0.5000  6 Cu 2.41-2.65
Cu  0.4181  0.4181  0.8112  4 Cu 2.40-2.44, 2 Zn 2.41
Cu  0.9327  0.9327  0.3526  4 Cu 2.44-2.56, 1 Ru 2.52, 1 Zn 2.65
Cu  0.3526  0.9327  0.9327  4 Cu 2.44-2.56, 1 Ru 2.52, 1 Zn 2.65
Cu  0.8112  0.4181  0.4181  4 Cu 2.40-2.44, 2 Zn 2.41
Cu  0.9327  0.3526  0.9327  4 Cu 2.44-2.56, 1 Ru 2.52, 1 Zn 2.65
Cu  0.4181  0.8112  0.4181  4 Cu 2.40-2.44, 2 Zn 2.41
Cu  0.5819  0.5819  0.1888  4 Cu 2.40-2.44, 2 Zn 2.41
Cu  0.0673  0.0673  0.6474  4 Cu 2.44-2.56, 1 Ru 2.52, 1 Zn 2.65
Cu  0.6474  0.0673  0.0673  4 Cu 2.44-2.56, 1 Ru 2.52, 1 Zn 2.65
Cu  0.1888  0.5819  0.5819  4 Cu 2.40-2.44, 2 Zn 2.41
Cu  0.0673  0.6474  0.0673  4 Cu 2.44-2.56, 1 Ru 2.52, 1 Zn 2.65
Cu  0.5819  0.1888  0.5819  4 Cu 2.40-2.44, 2 Zn 2.41
Ru  0.0000  0.0000  0.0000  6 Cu 2.52

6.
VASP calculation (PBE-GGA) on a geometry-optimized La2Zn6CuRu structure.

Summary:
space group	R-3m, No. 166
V	397.55	Å³ per cell
ΔE_f	-0.207	eV/atom

a b c (Å): 6.3387 6.3387 11.9969
angles (deg): 74.68 74.68 60.00
Last column: nearest neighbours and their distance in Å.
Fractional coordinates of all 20 atoms:
La  0.8679  0.8679  0.3964  12 Zn 3.14-3.26
La  0.1321  0.1321  0.6036  12 Zn 3.14-3.26
La  0.6956  0.6956  0.9133  12 Zn 3.26-3.50
La  0.3044  0.3044  0.0867  12 Zn 3.26-3.50
Zn  0.9353  0.3508  0.3631  1 Cu 2.39, 2 Zn 2.63, 1 Ru 2.65
Zn  0.3508  0.9353  0.3631  1 Cu 2.39, 2 Zn 2.63, 1 Ru 2.65
Zn  0.3508  0.3508  0.3631  1 Cu 2.39, 2 Zn 2.63, 1 Ru 2.65
Zn  0.0647  0.6492  0.6369  1 Cu 2.39, 2 Zn 2.63, 1 Ru 2.65
Zn  0.6492  0.0647  0.6369  1 Cu 2.39, 2 Zn 2.63, 1 Ru 2.65
Zn  0.6492  0.6492  0.6369  1 Cu 2.39, 2 Zn 2.63, 1 Ru 2.65
Zn  0.7397  0.2070  0.8463  1 Cu 2.36, 1 Ru 2.45
Zn  0.2070  0.7397  0.8463  1 Cu 2.36, 1 Ru 2.45
Zn  0.2070  0.2070  0.8463  1 Cu 2.36, 1 Ru 2.45
Zn  0.2603  0.7930  0.1537  1 Cu 2.36, 1 Ru 2.45
Zn  0.7930  0.2603  0.1537  1 Cu 2.36, 1 Ru 2.45
Zn  0.7930  0.7930  0.1537  1 Cu 2.36, 1 Ru 2.45
Cu  0.5767  0.5767  0.2698  6 Zn 2.36-2.39, 1 Ru 2.63
Cu  0.4233  0.4233  0.7302  6 Zn 2.36-2.39, 1 Ru 2.63
Ru  0.0000  0.0000  0.0000  6 Zn 2.45
Ru  0.5000  0.5000  0.5000  2 Cu 2.63, 6 Zn 2.65

7.
VASP calculation (PBE-GGA) on a geometry-optimized LaCuS2 structure.

Summary:
space group	P2_1/c, No. 14
V	332.58	Å³ per cell
raw formation energy	-1473	meV per atom

a b c (Å): 6.6056 6.9460 7.3179
angles (deg): 90.00 90.00 97.89
Last column: nearest neighbours and their distance in Å.
Fractional coordinates of all 16 atoms:
S  0.9097  0.0007  0.7269  1 Cu 2.33
S  0.0903  0.4993  0.2269  1 Cu 2.33
S  0.0903  0.9993  0.2731  1 Cu 2.33
S  0.9097  0.5007  0.7731  1 Cu 2.33
S  0.5867  0.7784  0.1170  2 Cu 2.35-2.36
S  0.5867  0.2784  0.3830  2 Cu 2.35-2.36
S  0.4133  0.2216  0.8830  2 Cu 2.35-2.36
S  0.4133  0.7216  0.6170  2 Cu 2.35-2.36
Cu  0.5720  0.0435  0.6661  3 S 2.33-2.36
Cu  0.4280  0.9565  0.3339  3 S 2.33-2.36
Cu  0.4280  0.4565  0.1661  3 S 2.33-2.36
Cu  0.5720  0.5435  0.8339  3 S 2.33-2.36
La  0.1898  0.7995  0.9477  7 S 2.88-3.13
La  0.8102  0.7005  0.4477  7 S 2.88-3.13
La  0.8102  0.2005  0.0523  7 S 2.88-3.13
La  0.1898  0.2995  0.5523  7 S 2.88-3.13

8.
VASP calculation (PBE-GGA) on a geometry-optimized La2CuS4 structure.

Summary:
space group	P2_1/c, No. 14
V	623.40	Å³ per cell
raw formation energy	-1647	meV per atom
energy above the lowest structure with this stoichiometry	0.000	eV/atom

a b c (Å): 7.5871 7.7476 10.9736
angles (deg): 75.12 90.00 90.00
Last column: nearest neighbours and their distance in Å.
Fractional coordinates of all 28 atoms:
La  0.2981  0.0596  0.1363  7 S 2.92-3.09
La  0.7981  0.9404  0.3637  7 S 2.92-3.09
La  0.7019  0.9404  0.8637  7 S 2.92-3.09
La  0.2019  0.0596  0.6363  7 S 2.92-3.09
La  0.6276  0.5299  0.6751  6 S 2.87-3.02
La  0.1276  0.4701  0.8249  6 S 2.87-3.02
La  0.3724  0.4701  0.3249  6 S 2.87-3.02
La  0.8724  0.5299  0.1751  6 S 2.87-3.02
Cu  0.6173  0.3228  0.9965  3 S 2.23-2.26
Cu  0.1173  0.6772  0.5035  3 S 2.23-2.26
Cu  0.3827  0.6772  0.0035  3 S 2.23-2.26
Cu  0.8827  0.3228  0.4965  3 S 2.23-2.26
S  0.9482  0.1139  0.0231  1 S 2.11
S  0.4482  0.8861  0.4769  1 S 2.11
S  0.0518  0.8861  0.9769  1 S 2.11
S  0.5518  0.1139  0.5231  1 S 2.11
S  0.0674  0.2100  0.3752  1 Cu 2.26
S  0.5674  0.7900  0.1248  1 Cu 2.26
S  0.9326  0.7900  0.6248  1 Cu 2.26
S  0.4326  0.2100  0.8752  1 Cu 2.26
S  0.6031  0.2466  0.2081  1 Cu 2.25
S  0.1031  0.7534  0.2919  1 Cu 2.25
S  0.3969  0.7534  0.7919  1 Cu 2.25
S  0.8969  0.2466  0.7081  1 Cu 2.25
S  0.7907  0.5552  0.9124  1 Cu 2.23
S  0.2907  0.4448  0.5876  1 Cu 2.23
S  0.2093  0.4448  0.0876  1 Cu 2.23
S  0.7093  0.5552  0.4124  1 Cu 2.23

9.
VASP calculation (PBE-GGA) on a geometry-optimized LaCuS2 structure.

Summary:
space group	I-42d, No. 122
V	202.75	Å³ per cell
raw formation energy	-1199	meV per atom

a b c (Å): 5.6439 5.6439 7.5128
angles (deg): 67.94 67.94 90.00
Last column: nearest neighbours and their distance in Å.
Fractional coordinates of all 8 atoms:
S  0.5649  0.1250  0.2500  2 Cu 2.38
S  0.1850  0.6250  0.2500  2 Cu 2.38
S  0.3750  0.4350  0.7500  2 Cu 2.38
S  0.8750  0.8149  0.7500  2 Cu 2.38
Cu  0.5000  0.5000  0.0000  4 S 2.38
Cu  0.2500  0.7500  0.5000  4 S 2.38
La  0.0000  0.0000  0.0000  4 S 2.75
La  0.7500  0.2500  0.5000  4 S 2.75

10.
VASP calculation (PBE-GGA) on a geometry-optimized LaCuS structure.

Summary:
space group	R-3m, No. 166
V	145.02	Å³ per cell
raw formation energy	-1140	meV per atom

a b c (Å): 4.6508 4.6508 8.1945
angles (deg): 73.51 73.51 60.00
Last column: nearest neighbours and their distance in Å.
Fractional coordinates of all 6 atoms:
La  0.5859  0.5859  0.2423  4 S 2.79-2.98
La  0.4141  0.4141  0.7577  4 S 2.79-2.98
S  0.2857  0.2857  0.1428  1 Cu 2.62, 3 La 2.79
S  0.7143  0.7143  0.8572  1 Cu 2.62, 3 La 2.79
Cu  0.8269  0.8269  0.5192  1 S 2.62, 3 Cu 2.70
Cu  0.1731  0.1731  0.4808  1 S 2.62, 3 Cu 2.70

Please write out number 2 again, unchanged.
VASP calculation (PBE-GGA) on a geometry-optimized SrLa2CuRu structure.

Summary:
space group	P4/mmm, No. 123
V	154.07	Å³ per cell
ΔE_f	0.065	eV/atom

a b c (Å): 5.3709 5.3709 5.3413
angles (deg): 90.00 90.00 90.00
Last column: nearest neighbours and their distance in Å.
Fractional coordinates of all 5 atoms:
Ru  0.0000  0.0000  0.0000  2 Cu 2.67, 4 La 2.69
Cu  0.0000  0.0000  0.5000  2 Ru 2.67
Sr  0.5000  0.5000  0.5000  8 La 3.79, 4 Cu 3.80
La  0.0000  0.5000  0.0000  2 Ru 2.69
La  0.5000  0.0000  0.0000  2 Ru 2.69

V of number 10 (LaCuS)? 145.02 Å³ per cell